A relaxed structure of SrSiGeRh3. Source: Alexandria, functional GGA-PBE.

Calculated values
* energy relative to the elements, uncorrected: -3.316 eV per formula unit
* M_tot: 0.00 μB/f.u.
* total energy: -74.19 eV/cell
* symmetry: Cmcm (63)

The structure in POSCAR format:
```
SrSiGeRh3
1.0
5.917 0.000 0.000
0.000 5.909 0.000
0.000 -2.954 7.022
Si Rh Ge Sr
2 6 2 2
Cartesian
4.438 2.954 5.981
1.479 0.000 1.041
2.958 1.481 0.000
0.000 1.481 0.000
0.000 4.428 0.000
2.958 4.428 0.000
4.438 2.954 3.710
1.479 0.000 3.312
1.479 0.000 5.710
4.438 2.954 1.312
1.479 2.954 3.442
4.438 0.000 3.580
```

---

A relaxed structure of Tb3SiGe2Rh9. Source: Alexandria, functional GGA-PBE.

Calculated values
* energy relative to the elements, uncorrected: -7.215 eV per formula unit
* M_tot: 0.00 μB/f.u.
* total energy: -101.93 eV/cell
* symmetry: P-3m1 (164)

The structure in POSCAR format:
```
Tb3SiGe2Rh9
1.0
-0.787 -6.047 -2.138
5.680 2.984 -0.767
2.357 -2.726 6.842
Tb Rh Ge Si
3 9 2 1
Cartesian
2.146 -3.936 0.577
0.000 0.000 0.000
5.103 -1.852 3.359
4.814 -4.883 2.273
2.230 -3.266 3.807
2.446 -1.531 -1.453
2.435 -0.905 1.663
5.018 -2.522 0.129
1.815 -6.459 2.678
5.434 0.671 1.258
-0.394 -3.023 -1.069
2.840 1.492 -0.384
3.309 -5.281 3.953
3.940 -0.507 -0.016
1.178 -1.363 3.421
```

---

A relaxed structure of Tb2Si3GeRh4. Source: Alexandria, functional GGA-PBE.

Calculated values
* energy relative to the elements, uncorrected: -10.166 eV per formula unit
* M_tot: 0.00 μB/f.u.
* total energy: -69.72 eV/cell
* symmetry: P-4m2 (115)

The structure in POSCAR format:
```
Tb2Si3GeRh4
1.0
4.159 0.000 0.000
0.000 4.159 0.000
0.000 0.000 9.826
Rh Si Tb Ge
4 3 2 1
Cartesian
2.080 0.000 6.212
0.000 2.080 3.613
2.080 2.080 0.000
0.000 0.000 0.000
0.000 2.080 1.255
0.000 0.000 4.913
2.080 0.000 8.571
0.000 2.080 7.325
2.080 0.000 2.501
2.080 2.080 4.913
```

---

A relaxed structure of Tb2SiGeRh6. Source: Alexandria, functional GGA-PBE.

Calculated values
* energy relative to the elements, uncorrected: -5.323 eV per formula unit
* M_tot: 0.00 μB/f.u.
* total energy: -68.73 eV/cell
* symmetry: Fm-3m (225)

The structure in POSCAR format:
```
Tb2SiGeRh6
1.0
6.384 0.000 0.001
0.000 6.385 0.001
3.192 3.193 4.516
Rh Ge Tb Si
6 1 2 1
Cartesian
1.626 4.759 0.001
3.192 3.193 2.216
6.384 6.386 2.302
7.951 7.951 4.517
1.625 1.627 0.000
7.951 4.819 4.517
0.000 0.000 0.000
3.192 6.386 2.260
6.384 3.193 2.258
3.192 3.193 0.001
```

---

A relaxed structure of ThSiGeRh. Source: Alexandria, functional GGA-PBE.

Calculated values
* energy relative to the elements, uncorrected: -3.348 eV per formula unit
* M_tot: 0.00 μB/f.u.
* total energy: -56.32 eV/cell
* symmetry: P4/nmm (129)

The structure in POSCAR format:
```
ThSiGeRh
1.0
4.149 0.000 0.000
0.000 4.149 0.000
0.000 0.000 9.271
Si Rh Ge Th
2 2 2 2
Cartesian
0.000 2.074 3.387
2.074 0.000 5.884
0.000 0.000 4.635
2.074 2.074 4.635
2.074 0.000 8.281
0.000 2.074 0.989
0.000 2.074 7.275
2.074 0.000 1.996
```

---

A relaxed structure of Th3Si2GeRh9. Source: Alexandria, functional GGA-PBE.

Calculated values
* energy relative to the elements, uncorrected: -10.697 eV per formula unit
* M_tot: 0.00 μB/f.u.
* total energy: -114.58 eV/cell
* symmetry: P-3m1 (164)

The structure in POSCAR format:
```
Th3Si2GeRh9
1.0
5.835 0.000 0.000
-2.918 5.053 0.000
0.000 0.000 9.667
Rh Th Si Ge
9 3 2 1
Cartesian
1.492 4.231 3.049
0.000 1.646 3.049
4.410 0.823 6.618
1.459 2.527 0.000
1.425 0.823 6.618
2.918 3.408 6.618
-1.492 4.231 3.049
2.918 0.000 0.000
-1.459 2.527 0.000
0.000 0.000 0.000
2.918 1.684 3.355
0.000 3.369 6.312
0.000 3.369 1.562
2.918 1.684 8.105
0.000 0.000 4.833
```

---

A relaxed structure of Th2SiGe3Rh4. Source: Alexandria, functional GGA-PBE.

Calculated values
* energy relative to the elements, uncorrected: -9.373 eV per formula unit
* M_tot: 0.00 μB/f.u.
* total energy: -72.89 eV/cell
* symmetry: P-4m2 (115)

The structure in POSCAR format:
```
Th2SiGe3Rh4
1.0
4.250 0.000 0.000
0.000 4.250 0.000
0.000 0.000 10.093
Ge Th Rh Si
3 2 4 1
Cartesian
0.000 0.000 5.046
2.125 0.000 8.746
0.000 2.125 1.347
0.000 2.125 7.506
2.125 0.000 2.587
0.000 2.125 3.812
2.125 0.000 6.281
0.000 0.000 0.000
2.125 2.125 0.000
2.125 2.125 5.046
```

---

A relaxed structure of Tm2Si2GeRh5. Source: Alexandria, functional GGA-PBE.

Calculated values
* energy relative to the elements, uncorrected: -9.408 eV per formula unit
* M_tot: 0.00 μB/f.u.
* total energy: -141.14 eV/cell
* symmetry: P4/mbm (127)

The structure in POSCAR format:
```
Tm2Si2GeRh5
1.0
3.477 0.000 0.000
0.000 9.623 0.000
0.000 0.000 9.623
Rh Ge Si Tm
10 2 4 4
Cartesian
1.738 0.664 7.599
1.738 5.475 6.836
1.738 8.959 2.024
1.738 0.000 4.811
1.738 4.811 0.000
1.738 7.599 8.959
1.738 2.787 5.475
1.738 6.836 4.148
1.738 4.148 2.787
1.738 2.024 0.664
0.000 0.000 0.000
0.000 4.811 4.811
0.000 8.433 3.622
0.000 1.189 6.001
0.000 3.622 1.189
0.000 6.001 8.433
0.000 1.683 3.128
0.000 7.940 6.495
0.000 3.128 7.940
0.000 6.495 1.683
```